The following is a GGA-PBE calculation of an optimized crystal structure of Rb3MgNp2Se6, from Alexandria. Values from VASP.

Summary:
The uncorrected formation energy is -1.2247 eV/atom. As for the space group: C2/m.

```
&SYSTEM
  ibrav = 0, nat = 12, ntyp = 4
/
ATOMIC_SPECIES
Se 78.96 Se.upf
Np 237.00 Np.upf
Rb 85.47 Rb.upf
Mg 24.30 Mg.upf
CELL_PARAMETERS angstrom
7.3219 -0.0008 0.0015
-3.6598 6.3416 0.0015
-1.2196 -2.1118 7.9608
ATOMIC_POSITIONS crystal
Se 0.3953 0.0639 0.1919
Se 0.9361 0.6047 0.8081
Se 0.7325 0.7325 0.1915
Se 0.6047 0.9361 0.8081
Se 0.2675 0.2675 0.8085
Se 0.0639 0.3953 0.1919
Np 0.3332 0.6668 0.0000
Np 0.6668 0.3332 0.0000
Rb 0.5000 0.5000 0.5000
Rb 0.8345 0.1655 0.5000
Rb 0.1655 0.8345 0.5000
Mg 0.0000 0.0000 0.0000
```


The following is a GGA-PBE calculation of an optimized crystal structure of Rb3MgNp3Se8, from Alexandria. Values from VASP.

Summary:
The uncorrected formation energy is -1.2060 eV/atom. As for the space group: R-3m.

```
&SYSTEM
  ibrav = 0, nat = 15, ntyp = 4
/
ATOMIC_SPECIES
Se 78.96 Se.upf
Mg 24.30 Mg.upf
Np 237.00 Np.upf
Rb 85.47 Rb.upf
CELL_PARAMETERS angstrom
8.3519 0.0001 -0.0001
-4.1759 7.2318 -0.0267
-0.0001 -4.7901 8.1212
ATOMIC_POSITIONS crystal
Se 0.2704 0.0418 0.3130
Se 0.7317 0.4633 0.6950
Se 0.2286 0.4573 0.6869
Se 0.7714 0.5427 0.3131
Se 0.2287 0.9583 0.6870
Se 0.2683 0.5367 0.3050
Se 0.7296 0.9582 0.6870
Se 0.7713 0.0417 0.3130
Mg 0.0000 0.0000 0.5000
Np 0.0000 0.5000 0.5000
Np 0.5000 0.5000 0.5000
Np 0.5000 0.0000 0.5000
Rb 0.0000 0.0000 0.0000
Rb 0.5000 0.5000 0.0000
Rb 0.0000 0.5000 0.0000
```


The following is a GGA-PBE calculation of an optimized crystal structure of Rb2MgNp2Se6, from Alexandria. Values from VASP.

Summary:
The uncorrected formation energy is -1.1999 eV/atom. As for the space group: C2/m.

```
&SYSTEM
  ibrav = 0, nat = 11, ntyp = 4
/
ATOMIC_SPECIES
Rb 85.47 Rb.upf
Se 78.96 Se.upf
Mg 24.30 Mg.upf
Np 237.00 Np.upf
CELL_PARAMETERS angstrom
7.1348 -0.0302 0.0747
-3.5526 6.1875 0.0747
-1.2612 -2.1679 8.1277
ATOMIC_POSITIONS crystal
Rb 0.8350 0.1650 0.0000
Rb 0.1650 0.8350 0.0000
Se 0.7297 0.7297 0.6865
Se 0.9386 0.6042 0.3124
Se 0.2703 0.2703 0.3135
Se 0.0614 0.3958 0.6876
Se 0.3958 0.0614 0.6876
Se 0.6042 0.9386 0.3124
Mg 0.0000 0.0000 0.5000
Np 0.6664 0.3336 0.5000
Np 0.3336 0.6664 0.5000
```


The following is a GGA-PBE calculation of an optimized crystal structure of Rb4MgNp3Se8, from Alexandria. Values from VASP.

Summary:
The uncorrected formation energy is -1.2276 eV/atom. As for the space group: R-3m.

```
&SYSTEM
  ibrav = 0, nat = 16, ntyp = 4
/
ATOMIC_SPECIES
Se 78.96 Se.upf
Mg 24.30 Mg.upf
Rb 85.47 Rb.upf
Np 237.00 Np.upf
CELL_PARAMETERS angstrom
-1.6196 8.2543 1.3784
-4.1381 -2.1652 8.1042
8.0301 -2.6436 -1.0896
ATOMIC_POSITIONS crystal
Se 0.7317 0.6951 0.4634
Se 0.2287 0.6913 0.9626
Se 0.7713 0.3087 0.5425
Se 0.2660 0.3087 0.0374
Se 0.2683 0.3049 0.5366
Se 0.7713 0.3087 0.0374
Se 0.7340 0.6913 0.9626
Se 0.2287 0.6913 0.4575
Mg 0.0000 0.5000 0.0000
Rb 0.0000 0.0000 0.0000
Rb 0.5000 0.0000 0.5000
Rb 0.0000 0.0000 0.5000
Rb 0.5000 0.0000 0.0000
Np 0.0000 0.5000 0.5000
Np 0.5000 0.5000 0.5000
Np 0.5000 0.5000 0.0000
```


The following is a GGA-PBE calculation of an optimized crystal structure of Rb3Mg2NpSe6, from Alexandria. Values from VASP.

Summary:
The uncorrected formation energy is -1.1570 eV/atom. As for the space group: C2/m.

```
&SYSTEM
  ibrav = 0, nat = 12, ntyp = 4
/
ATOMIC_SPECIES
Se 78.96 Se.upf
Mg 24.30 Mg.upf
Rb 85.47 Rb.upf
Np 237.00 Np.upf
CELL_PARAMETERS angstrom
7.1434 -0.0031 0.0015
-3.5726 6.1858 0.0015
-1.1895 -2.0597 7.9470
ATOMIC_POSITIONS crystal
Se 0.0627 0.3927 0.1875
Se 0.2667 0.2667 0.8112
Se 0.3927 0.0627 0.1875
Se 0.9373 0.6073 0.8125
Se 0.6073 0.9373 0.8125
Se 0.7333 0.7333 0.1888
Mg 0.3339 0.6661 0.0000
Mg 0.6661 0.3339 0.0000
Rb 0.1693 0.8307 0.5000
Rb 0.8307 0.1693 0.5000
Rb 0.5000 0.5000 0.5000
Np 0.0000 0.0000 0.0000
```


The following is a GGA-PBE calculation of an optimized crystal structure of Rb3MgNp2Te6, from Alexandria. Values from VASP.

Summary:
The uncorrected formation energy is -0.8776 eV/atom. As for the space group: C2/m.

```
&SYSTEM
  ibrav = 0, nat = 12, ntyp = 4
/
ATOMIC_SPECIES
Te 127.60 Te.upf
Np 237.00 Np.upf
Rb 85.47 Rb.upf
Mg 24.30 Mg.upf
CELL_PARAMETERS angstrom
7.8502 -0.0012 0.0002
-3.9243 6.7990 0.0002
-1.3091 -2.2667 8.4985
ATOMIC_POSITIONS crystal
Te 0.0651 0.3952 0.1952
Te 0.6048 0.9349 0.8048
Te 0.2651 0.2651 0.8047
Te 0.3952 0.0651 0.1952
Te 0.9349 0.6048 0.8048
Te 0.7349 0.7349 0.1953
Np 0.6667 0.3333 0.0000
Np 0.3333 0.6667 0.0000
Rb 0.8332 0.1668 0.5000
Rb 0.5000 0.5000 0.5000
Rb 0.1668 0.8332 0.5000
Mg 0.0000 0.0000 0.0000
```


The following is a GGA-PBE calculation of an optimized crystal structure of Rb2MgNpTe4, from Alexandria. Values from VASP.

Summary:
The uncorrected formation energy is -0.8598 eV/atom. As for the space group: P2/m.

```
&SYSTEM
  ibrav = 0, nat = 8, ntyp = 4
/
ATOMIC_SPECIES
Te 127.60 Te.upf
Mg 24.30 Mg.upf
Np 237.00 Np.upf
Rb 85.47 Rb.upf
CELL_PARAMETERS angstrom
4.5275 0.0000 0.0000
0.0000 7.7656 0.0892
0.0000 -2.7876 8.4402
ATOMIC_POSITIONS crystal
Te 0.0000 0.7262 0.1869
Te 0.5000 0.2302 0.1984
Te 0.5000 0.7698 0.8016
Te 0.0000 0.2738 0.8131
Mg 0.5000 0.5000 0.0000
Np 0.0000 0.0000 0.0000
Rb 0.0000 0.5000 0.5000
Rb 0.5000 0.0000 0.5000
```


The following is a GGA-PBE calculation of an optimized crystal structure of Rb3MgNp3Te8, from Alexandria. Values from VASP.

Summary:
The uncorrected formation energy is -0.8178 eV/atom. As for the space group: R-3m.

```
&SYSTEM
  ibrav = 0, nat = 15, ntyp = 4
/
ATOMIC_SPECIES
Np 237.00 Np.upf
Te 127.60 Te.upf
Rb 85.47 Rb.upf
Mg 24.30 Mg.upf
CELL_PARAMETERS angstrom
-8.8585 0.4081 -1.0749
3.4336 -3.0212 7.6728
0.6490 9.9480 -1.5712
ATOMIC_POSITIONS crystal
Np 0.5000 0.5000 0.5000
Np 0.5000 0.0000 0.5000
Np 0.0000 0.5000 0.5000
Te 0.2306 0.4612 0.6923
Te 0.7696 0.0382 0.3078
Te 0.2686 0.0382 0.3078
Te 0.2304 0.9618 0.6922
Te 0.7314 0.9618 0.6922
Te 0.7333 0.4666 0.6998
Te 0.2667 0.5334 0.3002
Te 0.7694 0.5388 0.3077
Rb 0.0000 0.5000 0.0000
Rb 0.0000 0.0000 0.0000
Rb 0.5000 0.5000 0.0000
Mg 0.0000 0.0000 0.5000
```


The following is a GGA-PBE calculation of an optimized crystal structure of MgNpRh2, from Alexandria. Values from VASP.

Summary:
For the formation energy, the calculation gives -0.4316 eV/atom. As for the space group: P4/mmm.

```
&SYSTEM
  ibrav = 0, nat = 4, ntyp = 3
/
ATOMIC_SPECIES
Mg 24.30 Mg.upf
Rh 102.91 Rh.upf
Np 237.00 Np.upf
CELL_PARAMETERS angstrom
3.4239 0.0000 0.0000
0.0000 4.5376 0.0000
0.0000 0.0000 4.5376
ATOMIC_POSITIONS crystal
Mg 0.5000 0.0000 0.0000
Rh 0.0000 0.5000 0.0000
Rh 0.0000 0.0000 0.5000
Np 0.5000 0.5000 0.5000
```


The following is a GGA-PBE calculation of an optimized crystal structure of MgNp4Rh12, from Alexandria. Values from VASP.

Summary:
For the formation energy, the calculation gives -0.2706 eV/atom. As for the space group: Im-3m.

```
&SYSTEM
  ibrav = 0, nat = 17, ntyp = 3
/
ATOMIC_SPECIES
Rh 102.91 Rh.upf
Np 237.00 Np.upf
Mg 24.30 Mg.upf
CELL_PARAMETERS angstrom
-6.9711 1.6969 -0.2852
2.8635 0.5330 -6.5630
0.7289 -6.7316 2.3899
ATOMIC_POSITIONS crystal
Rh 0.0000 0.2911 0.2911
Rh 0.5000 0.2500 0.7500
Rh 0.2911 0.0000 0.2911
Rh 0.0000 0.7089 0.7089
Rh 0.5000 0.7500 0.2500
Rh 0.2911 0.2911 0.0000
Rh 0.2500 0.7500 0.5000
Rh 0.7089 0.0000 0.7089
Rh 0.2500 0.5000 0.7500
Rh 0.7500 0.2500 0.5000
Rh 0.7089 0.7089 0.0000
Rh 0.7500 0.5000 0.2500
Np 0.0000 0.5000 0.0000
Np 0.0000 0.0000 0.5000
Np 0.5000 0.0000 0.0000
Np 0.5000 0.5000 0.5000
Mg 0.0000 0.0000 0.0000
```


The following is a GGA-PBE calculation of an optimized crystal structure of MgNp2Rh9, from Alexandria. Values from VASP.

Summary:
For the formation energy, the calculation gives -0.3545 eV/atom. As for the space group: P4/mmm.

```
&SYSTEM
  ibrav = 0, nat = 12, ntyp = 3
/
ATOMIC_SPECIES
Np 237.00 Np.upf
Rh 102.91 Rh.upf
Mg 24.30 Mg.upf
CELL_PARAMETERS angstrom
-0.5174 -0.5211 -3.9279
2.8908 -2.7587 -0.0148
-8.0202 -8.4160 2.1732
ATOMIC_POSITIONS crystal
Np 0.0000 0.0000 0.6726
Np 0.0000 0.0000 0.3273
Rh 0.5000 0.5000 0.6687
Rh 0.5000 0.0000 0.8373
Rh 0.5000 0.5000 0.0000
Rh 0.0000 0.5000 0.1627
Rh 0.0000 0.5000 0.5000
Rh 0.5000 0.5000 0.3313
Rh 0.5000 0.0000 0.1627
Rh 0.0000 0.5000 0.8373
Rh 0.5000 0.0000 0.5000
Mg 0.0000 0.0000 0.0000
```


The following is a GGA-PBE calculation of an optimized crystal structure of MgNpRh4, from Alexandria. Values from VASP.

Summary:
For the formation energy, the calculation gives -0.2519 eV/atom. As for the space group: C2/m.

```
&SYSTEM
  ibrav = 0, nat = 6, ntyp = 3
/
ATOMIC_SPECIES
Rh 102.91 Rh.upf
Mg 24.30 Mg.upf
Np 237.00 Np.upf
CELL_PARAMETERS angstrom
2.9064 0.0000 0.8406
1.5875 4.7795 -0.0439
-0.4495 -1.1345 6.9988
ATOMIC_POSITIONS crystal
Rh 0.6718 0.9935 0.6628
Rh 0.1626 0.4992 0.1757
Rh 0.3282 0.0065 0.3372
Rh 0.8374 0.5008 0.8243
Mg 0.0000 0.0000 0.0000
Np 0.5000 0.5000 0.5000
```


Energy? In order: -5.4985; -5.9523; -5.7743; -5.7378; -4.4853; -4.9800; -4.4894; -5.3813; -7.7412; -8.5986; -8.1577; -7.5754 eV per atom.
Size of the total moment? In order: 7.00; 10.00; 6.00; 11.00; 2.00; 7.00; 3.00; 10.00; 3.34; 6.97; 3.05; 1.27 μB per formula unit.
N(E_F)? In order: 1.60; 1.96; 1.30; 1.64; 0.66; 1.63; 1.00; 1.93; 1.55; 2.47; 1.84; 1.21 states/eV/atom.